Record 1
The following is a PBE calculation of a relaxed NaTlZn4 crystal, from Alexandria.

The structure in POSCAR format:
```
NaTlZn4
1.0
0.000 3.880 3.880
3.880 0.000 3.880
3.880 3.880 0.000
Na Tl Zn
1 1 4
Direct
0.000 0.000 0.000
0.750 0.750 0.750
0.374 0.374 0.374
0.374 0.374 0.879
0.374 0.879 0.374
0.879 0.374 0.374
```

Summary:
The calculated density comes out at 6.95 g/cm3. For the total energy, the calculation gives -1.42 eV per atom. The crystal system is cubic. Its formation enthalpy at 0 K is 0.04 eV per atom. Its space group is No. 216.

---

Record 2
The following is a PBE calculation of a relaxed NaTl2Zn2 crystal, from Alexandria.

The structure in POSCAR format:
```
NaTl2Zn2
1.0
-2.485 2.485 5.392
2.485 -2.485 5.392
2.485 2.485 -5.392
Na Tl Zn
1 2 2
Direct
0.000 0.000 0.000
0.250 0.750 0.500
0.750 0.250 0.500
0.386 0.386 0.000
0.614 0.614 0.000
```

Summary:
The calculated density comes out at 7.01 g/cm3. For the total energy, the calculation gives -1.65 eV per atom. The crystal system is tetragonal. Its formation enthalpy at 0 K is 0.07 eV per atom. Its space group is No. 139.

---

Record 3
The following is a PBE calculation of a relaxed Na2TlZn crystal, from Alexandria.

The structure in POSCAR format:
```
Na2TlZn
1.0
-4.268 4.268 3.048
4.268 -4.268 3.048
4.268 4.268 -3.048
Na Tl Zn
4 2 2
Direct
0.102 0.125 0.477
0.375 0.898 0.023
0.648 0.625 0.523
0.875 0.352 0.977
0.250 0.750 0.500
0.500 0.500 0.000
0.000 0.000 0.000
0.750 0.250 0.500
```

Summary:
The calculated density comes out at 4.72 g/cm3. For the total energy, the calculation gives -1.47 eV per atom. The crystal system is tetragonal. Its formation enthalpy at 0 K is 0.10 eV per atom. Its space group is No. 122.